{"formula": "LaSm7Cd4", "functional": "PBE", "state": "optimized geometry", "lattice": [[-5.159, -1.968, 1.885], [-0.966, -8.705, -2.702], [0.873, -4.914, 6.291]], "species": ["Sm", "Sm", "Sm", "Sm", "Cd", "Cd", "Sm", "Cd", "Cd", "La", "Sm", "Sm"], "fractional_positions": [[0.265, 0.691, 0.779], [0.070, 0.588, 0.272], [0.795, 0.881, 0.528], [0.735, 0.309, 0.221], [0.459, 0.714, 0.368], [0.682, 0.658, 0.978], [0.205, 0.119, 0.472], [0.318, 0.342, 0.022], [0.541, 0.286, 0.632], [0.000, 0.000, 0.000], [0.930, 0.412, 0.728], [0.500, 0.000, 0.000]], "formation_enthalpy_0k_ev_per_atom": -0.022, "sg": "C2/m (12)", "rho_g_cm3": 7.42, "n_ef_per_ev_atom": 1.25, "volume_a3_per_atom": 30.58, "e_tot_ev_per_cell": -41.89}

{"formula": "ZnIn4Hg9", "functional": "PBE", "state": "optimized geometry", "lattice": [[4.794, -8.304, 0.000], [4.794, 8.304, 0.000], [0.000, 0.000, 9.476]], "species": ["Hg", "In", "Hg", "Hg", "Hg", "In", "In", "Hg", "Hg", "Hg", "Hg", "Hg", "Hg", "In", "Hg", "In", "In", "Hg", "Hg", "Zn", "In", "Hg", "Hg", "Zn", "In", "Hg", "Hg", "Hg"], "fractional_positions": [[0.793, 0.207, 0.448], [0.875, 0.125, 0.750], [0.081, 0.541, 0.250], [0.414, 0.207, 0.448], [0.459, 0.919, 0.250], [0.125, 0.250, 0.250], [0.000, 0.000, 0.000], [0.793, 0.586, 0.052], [0.207, 0.414, 0.552], [0.919, 0.459, 0.750], [0.793, 0.207, 0.052], [0.793, 0.586, 0.448], [0.586, 0.793, 0.948], [0.125, 0.875, 0.250], [0.207, 0.414, 0.948], [0.750, 0.875, 0.250], [0.250, 0.125, 0.750], [0.541, 0.459, 0.750], [0.541, 0.081, 0.750], [0.667, 0.333, 0.250], [0.875, 0.750, 0.750], [0.207, 0.793, 0.552], [0.414, 0.207, 0.052], [0.333, 0.667, 0.750], [0.000, 0.000, 0.500], [0.207, 0.793, 0.948], [0.459, 0.541, 0.250], [0.586, 0.793, 0.552]], "formation_enthalpy_0k_ev_per_atom": 0.042, "sg": "P6_3/mmc (194)", "rho_g_cm3": 10.26, "n_ef_per_ev_atom": 0.35, "volume_a3_per_atom": 26.95, "e_tot_ev_per_cell": -28.72}

{"formula": "AsIrAu2", "functional": "PBE", "state": "optimized geometry", "lattice": [[-0.260, 3.038, 3.440], [0.522, -1.400, 4.347], [3.784, 1.146, 2.345]], "species": ["As", "Au", "Au", "Ir"], "fractional_positions": [[0.500, 0.500, 0.500], [0.250, 0.250, 0.250], [0.000, 0.000, 0.000], [0.750, 0.750, 0.750]], "formation_enthalpy_0k_ev_per_atom": 0.375, "sg": "F-43m (216)", "rho_g_cm3": 15.98, "n_ef_per_ev_atom": 1.01, "volume_a3_per_atom": 17.17, "e_tot_ev_per_cell": -18.56}